## TlNi2Ag (SCAN)

Data for a PBEsol-optimized structure of TlNi2Ag.

Cell lengths 3.1885, 3.1885, 5.7293 Å; angles 90.00, 90.00, 90.00 degrees
With the nearest neighbours (Å) after each atom.
Fractional coordinates of all 4 atoms:
Tl  0.0000  0.0000  0.0000  8 Ni 2.69, 2 Ag 2.86
Ni  0.5000  0.5000  0.2558  4 Ag 2.65, 4 Tl 2.69, 2 Ni 2.80-2.93
Ni  0.5000  0.5000  0.7442  4 Ag 2.65, 4 Tl 2.69, 2 Ni 2.80-2.93
Ag  0.0000  0.0000  0.5000  8 Ni 2.65, 2 Tl 2.86

* calculated formation energy: 34.5 kJ per mole of atoms
* offset from the most stable computed form: 0.000 eV/atom



## RbYO2F (SCAN)

Data for a PBEsol-optimized structure of RbYO2F.

Cell lengths 4.3767, 4.3767, 4.4969 Å; angles 90.00, 90.00, 90.00 degrees
With the nearest neighbours (Å) after each atom.
Fractional coordinates of all 5 atoms:
Rb  0.0000  0.0000  0.0000  4 F 3.09, 8 O 3.14
Y  0.5000  0.5000  0.5000  4 O 2.19, 2 F 2.25
O  0.0000  0.5000  0.5000  2 Y 2.19
O  0.5000  0.0000  0.5000  2 Y 2.19
F  0.5000  0.5000  0.0000  2 Y 2.25

* ΔE_f (raw): -2865.2 meV per atom



Number 1: density 12.2 g/cm³, N(E_F) 2.0 states/eV/f.u.. Number 2: density 4.3 g/cm³, N(E_F) 0.8 states/eV/f.u..